Entry 1:
Cs3SeN | the Alexandria database | GGA-PBE | optimized geometry; space-group type = Pm-3m; DFT total energy = -2.64 eV/atom; energy relative to the elements, uncorrected = 0.234 eV per atom
1.0
6.911 0.000 0.000
0.000 6.911 0.000
0.000 0.000 6.911
Cs Se N
3 1 1
direct
0.000 0.000 0.500
0.000 0.500 0.000
0.500 0.000 0.000
0.000 0.000 0.000
0.500 0.500 0.500



Entry 2:
CsSeN | the Alexandria database | GGA-PBE | optimized geometry; space-group type = P-1; DFT total energy = -4.80 eV/atom; energy relative to the elements, uncorrected = -0.579 eV per atom; offset from the most stable computed form = 0.0 meV per atom
1.0
5.128 0.000 0.000
-0.041 5.219 0.000
-2.278 -2.575 9.424
Cs Se N
2 2 2
direct
0.086 0.357 0.192
0.914 0.643 0.808
0.477 0.191 0.947
0.523 0.809 0.053
0.022 0.059 0.464
0.978 0.941 0.536



Entry 3:
CsSe6N2 | the Alexandria database | GGA-PBE | optimized geometry; space-group type = C2/m; DFT total energy = -3.22 eV/atom; energy relative to the elements, uncorrected = 1.053 eV per atom
1.0
6.148 -4.225 0.000
6.148 4.225 0.000
-4.413 0.000 5.955
Cs Se N
1 6 2
direct
0.000 0.000 0.000
0.139 0.861 0.500
0.204 0.481 0.525
0.481 0.204 0.525
0.519 0.796 0.475
0.796 0.519 0.475
0.861 0.139 0.500
0.332 0.332 0.992
0.668 0.668 0.008



Entry 4:
CsSeN | the Alexandria database | GGA-PBE | optimized geometry; space-group type = C2/m; DFT total energy = -4.06 eV/atom; energy relative to the elements, uncorrected = 0.164 eV per atom; offset from the most stable computed form = 743.5 meV per atom
1.0
5.998 -2.967 0.000
5.998 2.967 0.000
-1.684 0.000 5.121
Cs Se N
2 2 2
direct
0.151 0.151 0.332
0.849 0.849 0.668
0.440 0.440 0.192
0.560 0.560 0.808
0.404 0.404 0.798
0.596 0.596 0.202



Entry 5:
CsSe2N2 | the Alexandria database | GGA-PBE | optimized geometry; space-group type = P4/mmm; DFT total energy = -3.56 eV/atom; energy relative to the elements, uncorrected = 1.337 eV per atom; offset from the most stable computed form = 957.3 meV per atom
1.0
4.683 0.000 0.000
0.000 4.683 0.000
0.000 0.000 5.226
Cs Se N
1 2 2
direct
0.000 0.000 0.000
0.500 0.500 0.000
0.500 0.500 0.500
0.000 0.500 0.500
0.500 0.000 0.500



Entry 6:
CsSe3N | the Alexandria database | GGA-PBE | optimized geometry; space-group type = Pm-3m; DFT total energy = -2.10 eV/atom; energy relative to the elements, uncorrected = 1.824 eV per atom; offset from the most stable computed form = 1128.9 meV per atom
1.0
7.374 0.000 0.000
0.000 7.374 0.000
0.000 0.000 7.374
Cs Se N
1 3 1
direct
0.000 0.000 0.000
0.000 0.000 0.500
0.000 0.500 0.000
0.500 0.000 0.000
0.500 0.500 0.500



Entry 7:
CsSe2N2 | the Alexandria database | GGA-PBE | optimized geometry; space-group type = P4/mbm; DFT total energy = -4.28 eV/atom; energy relative to the elements, uncorrected = 0.613 eV per atom; offset from the most stable computed form = 233.2 meV per atom
1.0
8.833 0.000 0.000
0.000 8.833 0.000
0.000 0.000 3.333
Cs Se N
2 4 4
direct
0.000 0.000 0.000
0.500 0.500 0.000
0.123 0.377 0.500
0.377 0.877 0.500
0.623 0.123 0.500
0.877 0.623 0.500
0.198 0.302 0.000
0.302 0.802 0.000
0.698 0.198 0.000
0.802 0.698 0.000



Entry 8:
CsSe3N | the Alexandria database | GGA-PBE | optimized geometry; space-group type = Pm-3m; DFT total energy = -3.23 eV/atom; energy relative to the elements, uncorrected = 0.695 eV per atom; offset from the most stable computed form = 0.0 meV per atom
1.0
4.836 0.000 0.000
0.000 4.836 0.000
0.000 0.000 4.836
Cs Se N
1 3 1
direct
0.000 0.000 0.000
0.000 0.500 0.500
0.500 0.000 0.500
0.500 0.500 0.000
0.500 0.500 0.500